Record 1
Compound: Dy2AgPd2
Source: OQMD via LeMat-Bulk
Functional: PBE-GGA
Structure: optimized geometry

The value obtained for the volume is 21.5 Å³ per atom. For the total magnetization, the calculation gives 0.01 μB per formula unit. The calculation puts the energy of formation at -369 kJ/mol of formula units. Its space group is No. 127.

Unit cell a=7.628 b=7.628 c=3.695 alpha=90.00 beta=90.00 gamma=90.00
Atoms (fractional coordinates):
Dy1 0.171 0.329 0.000
Dy2 0.329 0.829 0.000
Dy3 0.671 0.171 0.000
Dy4 0.829 0.671 0.000
Ag1 0.000 0.000 0.500
Ag2 0.500 0.500 0.500
Pd1 0.130 0.630 0.500
Pd2 0.370 0.130 0.500
Pd3 0.630 0.870 0.500
Pd4 0.870 0.370 0.500



Record 2
Compound: ZnOs
Source: OQMD via LeMat-Bulk
Functional: PBE-GGA
Structure: optimized geometry

The value obtained for the volume is 14.1 Å³ per atom. For the total magnetization, the calculation gives 0.01 μB per formula unit. The calculation puts the energy of formation at 34 kJ/mol of formula units. Its space group is No. 25.

Unit cell a=4.473 b=5.287 c=4.766 alpha=90.00 beta=90.00 gamma=90.00
Atoms (fractional coordinates):
Zn1 0.000 0.000 0.000
Zn2 0.000 0.255 0.491
Zn3 0.000 0.745 0.491
Zn4 0.500 0.000 0.675
Os1 0.000 0.500 0.976
Os2 0.500 0.247 0.180
Os3 0.500 0.500 0.685
Os4 0.500 0.753 0.180



Record 3
Compound: Dy2Hf2O5
Source: OQMD via LeMat-Bulk
Functional: PBE-GGA
Structure: optimized geometry

The value obtained for the volume is 13.6 Å³ per atom. For the total magnetization, the calculation gives 0.00 μB per formula unit. The calculation puts the calculated total energy at -78.53 eV/cell. Its space group is No. 123.

Unit cell a=4.073 b=4.073 c=7.356 alpha=90.00 beta=90.00 gamma=90.00
Atoms (fractional coordinates):
Dy1 0.000 0.000 0.000
Dy2 0.000 0.000 0.500
Hf1 0.500 0.500 0.218
Hf2 0.500 0.500 0.782
O1 0.000 0.500 0.260
O2 0.000 0.500 0.740
O3 0.500 0.000 0.260
O4 0.500 0.000 0.740
O5 0.500 0.500 0.500



Record 4
Compound: Gd4PbC2Cl
Source: OQMD via LeMat-Bulk
Functional: PBE-GGA
Structure: optimized geometry

The value obtained for the volume is 22.0 Å³ per atom. For the total magnetization, the calculation gives 0.01 μB per formula unit. The calculation puts the calculated total energy at -48.89 eV/cell. Its space group is No. 187.

Unit cell a=3.685 b=3.685 c=14.987 alpha=90.00 beta=90.00 gamma=120.00
Atoms (fractional coordinates):
Gd1 0.000 0.000 0.144
Gd2 0.000 0.000 0.856
Gd3 0.333 0.667 0.322
Gd4 0.333 0.667 0.678
Pb1 0.000 0.000 0.500
C1 0.667 0.333 0.227
C2 0.667 0.333 0.773
Cl1 0.333 0.667 0.000



Record 5
Compound: HfOs2Pb
Source: OQMD via LeMat-Bulk
Functional: PBE-GGA
Structure: optimized geometry

The value obtained for the volume is 18.1 Å³ per atom. For the total magnetization, the calculation gives 0.03 μB per formula unit. The calculation puts the calculated total energy at -33.54 eV/cell. Its space group is No. 216.

Unit cell a=4.678 b=4.678 c=4.678 alpha=60.00 beta=60.00 gamma=60.00
Atoms (fractional coordinates):
Hf1 0.000 0.000 0.000
Os1 0.250 0.250 0.250
Os2 0.500 0.500 0.500
Pb1 0.750 0.750 0.750



Record 6
Compound: LaGe2Au2
Source: OQMD via LeMat-Bulk
Functional: PBE-GGA
Structure: optimized geometry

The value obtained for the volume is 21.5 Å³ per atom. For the total magnetization, the calculation gives 0.00 μB per formula unit. The calculation puts the calculated total energy at -95.09 eV/cell. Its space group is No. 14.

Unit cell a=10.420 b=4.548 c=9.080 alpha=90.00 beta=90.12 gamma=90.00
Atoms (fractional coordinates):
La1 0.249 0.247 0.374
La2 0.249 0.253 0.874
La3 0.751 0.747 0.126
La4 0.751 0.753 0.626
Ge1 0.131 0.730 0.117
Ge2 0.131 0.770 0.617
Ge3 0.500 0.248 0.624
Ge4 0.500 0.252 0.124
Ge5 0.500 0.748 0.876
Ge6 0.500 0.752 0.376
Ge7 0.869 0.230 0.383
Ge8 0.869 0.270 0.883
Au1 0.000 0.227 0.132
Au2 0.000 0.273 0.632
Au3 0.000 0.727 0.368
Au4 0.000 0.773 0.868
Au5 0.373 0.747 0.626
Au6 0.373 0.753 0.126
Au7 0.627 0.247 0.874
Au8 0.627 0.253 0.374



Record 7
Compound: B2OsAu
Source: OQMD via LeMat-Bulk
Functional: PBE-GGA
Structure: optimized geometry

The value obtained for the volume is 12.5 Å³ per atom. For the total magnetization, the calculation gives 0.09 μB per formula unit. The calculation puts the calculated total energy at -20.73 eV/cell. Its space group is No. 216.

Unit cell a=4.137 b=4.137 c=4.137 alpha=60.00 beta=60.00 gamma=60.00
Atoms (fractional coordinates):
B1 0.000 0.000 0.000
B2 0.250 0.250 0.250
Os1 0.500 0.500 0.500
Au1 0.750 0.750 0.750



Record 8
Compound: KNbCu
Source: OQMD via LeMat-Bulk
Functional: PBE-GGA
Structure: optimized geometry

The value obtained for the volume is 30.9 Å³ per atom. For the total magnetization, the calculation gives 4.76 μB per formula unit. The calculation puts the calculated total energy at -8.34 eV/cell. Its space group is No. 216.

Unit cell a=5.082 b=5.082 c=5.082 alpha=60.00 beta=60.00 gamma=60.00
Atoms (fractional coordinates):
K1 0.000 0.000 0.000
Nb1 0.250 0.250 0.250
Cu1 0.750 0.750 0.750



Record 9
Compound: SrAsPd
Source: OQMD via LeMat-Bulk
Functional: PBE-GGA
Structure: optimized geometry

The value obtained for the volume is 22.1 Å³ per atom. The calculation puts the calculated total energy at -41.12 eV/cell. Its space group is No. 189.

Unit cell a=7.471 b=7.471 c=4.120 alpha=90.00 beta=90.00 gamma=120.00
Atoms (fractional coordinates):
Sr1 0.000 0.603 0.000
Sr2 0.397 0.397 0.000
Sr3 0.603 0.000 0.000
As1 0.000 0.263 0.500
As2 0.263 0.000 0.500
As3 0.737 0.737 0.500
Pd1 0.000 0.000 0.000
Pd2 0.333 0.667 0.500
Pd3 0.667 0.333 0.500



Record 10
Compound: AgSbPO
Source: OQMD via LeMat-Bulk
Functional: PBE-GGA
Structure: optimized geometry

The value obtained for the volume is 20.4 Å³ per atom. The calculation puts the calculated total energy at -36.20 eV/cell. Its space group is No. 26.

Unit cell a=3.699 b=6.383 c=6.910 alpha=90.00 beta=90.00 gamma=90.00
Atoms (fractional coordinates):
Ag1 0.000 0.189 0.000
Ag2 0.000 0.811 0.500
Sb1 0.500 0.387 0.492
Sb2 0.500 0.613 0.992
P1 0.000 0.163 0.351
P2 0.000 0.837 0.851
O1 0.500 0.364 0.808
O2 0.500 0.636 0.308



Record 11
Compound: Mg2B6Mo
Source: OQMD via LeMat-Bulk
Functional: PBE-GGA
Structure: optimized geometry

The value obtained for the volume is 9.6 Å³ per atom. For the total magnetization, the calculation gives 0.01 μB per formula unit. The calculation puts the calculated total energy at -221.21 eV/cell. Its space group is No. 55.

Unit cell a=9.125 b=11.227 c=3.368 alpha=90.00 beta=90.00 gamma=90.00
Atoms (fractional coordinates):
Mg1 0.053 0.128 0.000
Mg2 0.170 0.413 0.000
Mg3 0.330 0.913 0.000
Mg4 0.447 0.628 0.000
Mg5 0.553 0.372 0.000
Mg6 0.670 0.087 0.000
Mg7 0.830 0.587 0.000
Mg8 0.947 0.872 0.000
B1 0.020 0.289 0.500
B2 0.055 0.562 0.500
B3 0.092 0.975 0.500
B4 0.132 0.824 0.500
B5 0.199 0.242 0.500
B6 0.238 0.075 0.500
B7 0.262 0.575 0.500
B8 0.301 0.742 0.500
B9 0.368 0.324 0.500
B10 0.408 0.475 0.500
B11 0.445 0.062 0.500
B12 0.480 0.789 0.500
B13 0.520 0.211 0.500
B14 0.555 0.938 0.500
B15 0.592 0.525 0.500
B16 0.632 0.676 0.500
B17 0.699 0.258 0.500
B18 0.738 0.425 0.500
B19 0.762 0.925 0.500
B20 0.801 0.758 0.500
B21 0.868 0.176 0.500
B22 0.908 0.025 0.500
B23 0.945 0.438 0.500
B24 0.980 0.711 0.500
Mo1 0.147 0.680 0.000
Mo2 0.353 0.180 0.000
Mo3 0.647 0.820 0.000
Mo4 0.853 0.320 0.000



Record 12
Compound: ZnReGe
Source: OQMD via LeMat-Bulk
Functional: PBE-GGA
Structure: optimized geometry

The value obtained for the volume is 16.7 Å³ per atom. For the total magnetization, the calculation gives 0.01 μB per formula unit. The calculation puts the calculated total energy at -16.51 eV/cell. Its space group is No. 216.

Unit cell a=4.137 b=4.137 c=4.137 alpha=60.00 beta=60.00 gamma=60.00
Atoms (fractional coordinates):
Zn1 0.000 0.000 0.000
Re1 0.500 0.500 0.500
Ge1 0.750 0.750 0.750